Here is an optimized crystal structure of ZnHg3I from Alexandria. Energies are from PBE.

**Crystal system**: cubic
**Energy relative to the elements, uncorrected**: 353 meV/atom

Cell lengths 6.5913, 6.5913, 6.5913 Å; angles 90.00, 90.00, 90.00 degrees
With the nearest neighbours (Å) after each atom.
Sites, in units of the cell vectors:
I 0.0000 0.0000 0.0000  6 Hg 3.30
Zn 0.5000 0.5000 0.5000  12 Hg 4.66
Hg 0.0000 0.5000 0.0000  2 I 3.30
Hg 0.0000 0.0000 0.5000  2 I 3.30
Hg 0.5000 0.0000 0.0000  2 I 3.30